Computed, not measured: a geometry-optimized Er3ScN4 structure at the PBE level of DFT.

Cell lengths 4.777, 4.777, 4.777 Å; angles 90.00, 90.00, 90.00 degrees
Fractional coordinates of all 8 atoms:
Er1 0.000 0.000 0.500
Er2 0.000 0.500 0.000
Er3 0.500 0.000 0.000
Sc1 0.500 0.500 0.500
N1 0.000 0.000 0.000
N2 0.000 0.500 0.500
N3 0.500 0.000 0.500
N4 0.500 0.500 0.000

Output
Total magnetization: 0.0 μB per formula unit
DOS(E_F): 0.42 states/eV/cell
E above lowest polymorph: 1.1 kJ/mol of atoms
Total energy: -8.441 eV/atom